CuSn | GGA-PBE | optimized geometry

abc: 11.238 3.318 6.157
angles: 90.00 90.00 90.00
Positions (direct):
Sn (0.301, 0.000, 0.723)
Sn (0.801, 0.500, 0.223)
Cu (0.386, 0.000, 0.131)
Sn (0.199, 0.500, 0.223)
Cu (0.614, 0.000, 0.131)
Sn (0.699, 0.000, 0.723)
Cu (0.114, 0.500, 0.631)
Cu (0.000, 0.000, 0.373)
Sn (0.500, 0.500, 0.422)
Sn (0.000, 0.000, 0.922)
Cu (0.500, 0.500, 0.873)
Cu (0.886, 0.500, 0.631)

Calculated density ... 7.91 g cm⁻³
ΔH_f (0 K) ... 8 kJ/mol of atoms
Fermi-level density of states ... 0.413 states/eV/atom
Volume ... 19.132 A^3/atom

Th3Ir7Pd2 | GGA-PBE | optimized geometry

abc: 5.387 5.387 9.431
angles: 73.40 73.40 60.00
Positions (direct):
Th (0.000, 0.000, 0.000)
Ir (0.080, 0.587, 0.746)
Ir (0.587, 0.080, 0.746)
Ir (0.500, 0.500, 0.500)
Ir (0.920, 0.413, 0.254)
Ir (0.413, 0.920, 0.254)
Th (0.861, 0.861, 0.416)
Th (0.139, 0.139, 0.584)
Ir (0.587, 0.587, 0.746)
Pd (0.666, 0.666, 0.001)
Pd (0.334, 0.334, 0.999)
Ir (0.413, 0.413, 0.254)

Calculated density ... 16.73 g cm⁻³
ΔH_f (0 K) ... -67 kJ/mol of atoms
Fermi-level density of states ... 0.668 states/eV/atom
Volume ... 18.648 A^3/atom

Ti6SbN | GGA-PBE | optimized geometry

abc: 4.772 4.772 6.889
angles: 71.56 71.56 86.99
Positions (direct):
Ti (0.116, 0.678, 0.238)
Sb (0.500, 0.500, 0.500)
Ti (0.884, 0.322, 0.762)
N (0.000, 0.000, 0.000)
Ti (0.678, 0.116, 0.238)
Ti (0.298, 0.298, 0.995)
Ti (0.322, 0.884, 0.762)
Ti (0.702, 0.702, 0.005)

Calculated density ... 4.98 g cm⁻³
Fermi-level density of states ... 0.816 states/eV/atom
Volume ... 17.625 A^3/atom
Formation energy from raw total energies ... -10.8 kcal/mol of atoms

CoNiRu2N | GGA-PBE | optimized geometry

abc: 3.973 3.973 3.728
angles: 90.00 90.00 90.00
Positions (direct):
Co (0.000, 0.000, 0.500)
N (0.000, 0.000, 0.000)
Ru (0.500, 0.000, 0.000)
Ni (0.500, 0.500, 0.500)
Ru (0.000, 0.500, 0.000)

Calculated density ... 9.42 g cm⁻³
Fermi-level density of states ... 1.230 states/eV/atom
Volume ... 11.769 A^3/atom
Formation energy from raw total energies ... 6.1 kcal/mol of atoms

PuNi4Ge | GGA-PBE | optimized geometry

abc: 4.904 4.904 4.904
angles: 60.00 60.00 60.00
Positions (direct):
Ge (0.000, 0.000, 0.000)
Ni (0.625, 0.124, 0.625)
Ni (0.124, 0.625, 0.625)
Ni (0.625, 0.625, 0.625)
Ni (0.625, 0.625, 0.124)
Pu (0.250, 0.250, 0.250)

Calculated density ... 10.98 g cm⁻³
ΔH_f (0 K) ... -21 kJ/mol of atoms
Fermi-level density of states ... 2.721 states/eV/atom
Volume ... 13.897 A^3/atom

Na2InSbO4 | GGA-PBE | optimized geometry

abc: 6.784 6.784 6.715
angles: 119.66 119.66 90.18
Positions (direct):
In (0.000, 0.500, 0.500)
Na (0.000, 0.000, 0.500)
O (0.234, 0.266, 0.489)
O (0.234, 0.266, 0.011)
Sb (0.500, 0.500, 0.500)
O (0.770, 0.285, 0.528)
Na (0.500, 0.500, 0.000)
Na (0.500, 0.000, 0.000)
Sb (0.000, 0.000, 0.000)
Na (0.500, 0.000, 0.500)
O (0.766, 0.734, 0.511)
O (0.230, 0.715, 0.472)
O (0.785, 0.270, 0.028)
O (0.766, 0.734, 0.989)
O (0.215, 0.730, 0.972)
In (0.000, 0.500, 0.000)

Calculated density ... 5.22 g cm⁻³
Volume ... 13.777 A^3/atom
Formation energy from raw total energies ... -33.0 kcal/mol of atoms